Record 1
First-principles (PBEsol) data for a geometry-optimized YCd3Pb structure, as listed in the Alexandria database.

a = 5.598 Å, b = 5.598 Å, c = 5.598 Å
α = 90.00°, β = 90.00°, γ = 90.00°
Space group Pm-3m (No. 221)
Symmetry-distinct sites (fractional):
1 Y 0.000 0.000 0.000 [1 per cell]
2 Cd 0.000 0.000 0.500 [3 per cell]
3 Pb 0.500 0.500 0.500 [1 per cell]

The calculated volume is 35.08 Å³ per atom. The calculated formation energy is 0.773 eV/atom.


Record 2
First-principles (PBEsol) data for a geometry-optimized BSbAuI2 structure, as listed in the Alexandria database.

a = 5.561 Å, b = 5.561 Å, c = 5.268 Å
α = 90.00°, β = 90.00°, γ = 90.00°
Space group P4/mmm (No. 123)
Symmetry-distinct sites (fractional):
1 B 0.000 0.000 0.000 [1 per cell]
2 Sb 0.500 0.500 0.000 [1 per cell]
3 Au 0.500 0.500 0.500 [1 per cell]
4 I 0.000 0.500 0.500 [2 per cell]

The calculated volume is 32.58 Å³ per atom. The value obtained for the energy relative to the elements, uncorrected is 1331 meV/atom.


Record 3
First-principles (PBEsol) data for a geometry-optimized Li2YAl structure, as listed in the Alexandria database.

a = 9.943 Å, b = 3.489 Å, c = 5.072 Å
α = 90.00°, β = 107.18°, γ = 90.00°
Space group C2/m (No. 12)
Symmetry-distinct sites (fractional):
1 Li 0.229 0.000 0.200 [4 per cell]
2 Y 0.000 0.000 0.500 [2 per cell]
3 Al 0.000 0.500 0.000 [2 per cell]

The calculated volume is 21.01 Å³ per atom. The calculated formation energy is -0.069 eV/atom.


Record 4
First-principles (PBEsol) data for a geometry-optimized BaPb2W structure, as listed in the Alexandria database.

a = 7.638 Å, b = 7.638 Å, c = 7.638 Å
α = 90.00°, β = 90.00°, γ = 90.00°
Space group F-43m (No. 216)
Symmetry-distinct sites (fractional):
1 Ba 0.000 0.000 0.000 [4 per cell]
2 Pb 0.000 0.000 0.500 [4 per cell]
3 Pb 0.250 0.250 0.250 [4 per cell]
4 W 0.250 0.250 0.750 [4 per cell]

The calculated volume is 27.85 Å³ per atom. The calculated formation energy is 1.020 eV/atom.


Record 5
First-principles (PBEsol) data for a geometry-optimized CoSiNi2 structure, as listed in the Alexandria database.

a = 3.418 Å, b = 3.418 Å, c = 3.523 Å
α = 90.00°, β = 90.00°, γ = 90.00°
Space group P4/mmm (No. 123)
Symmetry-distinct sites (fractional):
1 Co 0.000 0.000 0.000 [1 per cell]
2 Si 0.500 0.500 0.000 [1 per cell]
3 Ni 0.000 0.500 0.500 [2 per cell]

The calculated volume is 10.29 Å³ per atom. The value obtained for the energy relative to the elements, uncorrected is -446 meV/atom.


Record 6
First-principles (PBEsol) data for a geometry-optimized Ca2AlCd structure, as listed in the Alexandria database.

a = 3.556 Å, b = 5.328 Å, c = 11.017 Å
α = 90.00°, β = 90.00°, γ = 90.00°
Space group Imm2 (No. 44)
Symmetry-distinct sites (fractional):
1 Ca 0.000 0.000 0.000 [2 per cell]
2 Ca 0.000 0.500 0.202 [2 per cell]
3 Al 0.000 0.500 0.752 [2 per cell]
4 Cd 0.000 0.000 0.446 [2 per cell]

The calculated volume is 26.09 Å³ per atom. The calculated formation energy is -0.213 eV/atom.


Record 7
First-principles (PBEsol) data for a geometry-optimized ZrTa2Ru structure, as listed in the Alexandria database.

a = 2.944 Å, b = 4.518 Å, c = 5.297 Å
α = 90.00°, β = 102.29°, γ = 90.00°
Space group P2/m (No. 10)
Symmetry-distinct sites (fractional):
1 Zr 0.000 0.000 0.000 [1 per cell]
2 Ta 0.269 0.500 0.742 [2 per cell]
3 Ru 0.500 0.000 0.500 [1 per cell]

The calculated volume is 17.21 Å³ per atom. The calculated formation energy is -0.107 eV/atom.


Record 8
First-principles (PBEsol) data for a geometry-optimized Y2SbPtPb structure, as listed in the Alexandria database.

a = 5.614 Å, b = 5.614 Å, c = 5.405 Å
α = 90.00°, β = 90.00°, γ = 90.00°
Space group P4/mmm (No. 123)
Symmetry-distinct sites (fractional):
1 Y 0.000 0.500 0.000 [2 per cell]
2 Sb 0.000 0.000 0.500 [1 per cell]
3 Pt 0.500 0.500 0.500 [1 per cell]
4 Pb 0.000 0.000 0.000 [1 per cell]

The calculated volume is 34.07 Å³ per atom. The value obtained for the energy relative to the elements, uncorrected is 830 meV/atom.


Record 9
First-principles (PBEsol) data for a geometry-optimized CeMg structure, as listed in the Alexandria database.

a = 3.0529 Å, b = 3.0529 Å, c = 17.3386 Å
α = 90.00°, β = 90.00°, γ = 120.00°
Space group P3m1 (No. 156)
Symmetry-distinct sites (fractional):
1 Ce 0.0000 0.0000 0.0000 [1 per cell]
2 Ce 0.0000 0.0000 0.3396 [1 per cell]
3 Ce 0.6667 0.3333 0.5115 [1 per cell]
4 Mg 0.0000 0.0000 0.6796 [1 per cell]
5 Mg 0.6667 0.3333 0.1698 [1 per cell]
6 Mg 0.6667 0.3333 0.8322 [1 per cell]

The calculated volume is 23.32 Å³ per atom. The calculated formation energy is 0.030 eV/atom.


Record 10
First-principles (PBEsol) data for a geometry-optimized Gd2CCl structure, as listed in the Alexandria database.

a = 3.6458 Å, b = 3.6458 Å, c = 20.0624 Å
α = 90.00°, β = 90.00°, γ = 120.00°
Space group R-3m (No. 166, hexagonal axes)
Symmetry-distinct sites (fractional):
1 Gd 0.0000 0.0000 0.2315 [6 per cell]
2 C 0.0000 0.0000 0.5000 [3 per cell]
3 Cl 0.0000 0.0000 0.0000 [3 per cell]

The calculated volume is 19.24 Å³ per atom. The value obtained for the energy relative to the elements, uncorrected is -1146 meV/atom.


Record 11
First-principles (PBEsol) data for a geometry-optimized Li2LaIn structure, as listed in the Alexandria database.

a = 6.601 Å, b = 10.976 Å, c = 3.124 Å
α = 90.00°, β = 115.98°, γ = 90.00°
Space group C2/m (No. 12)
Symmetry-distinct sites (fractional):
1 Li 0.250 0.250 0.000 [4 per cell]
2 La 0.000 0.000 0.500 [2 per cell]
3 In 0.000 0.500 0.500 [2 per cell]

The calculated volume is 25.43 Å³ per atom. The calculated formation energy is -0.035 eV/atom.


Record 12
First-principles (PBEsol) data for a geometry-optimized SrYBePb2 structure, as listed in the Alexandria database.

a = 5.703 Å, b = 5.703 Å, c = 5.244 Å
α = 90.00°, β = 90.00°, γ = 90.00°
Space group P4/mmm (No. 123)
Symmetry-distinct sites (fractional):
1 Sr 0.000 0.000 0.000 [1 per cell]
2 Y 0.500 0.500 0.500 [1 per cell]
3 Be 0.500 0.500 0.000 [1 per cell]
4 Pb 0.000 0.500 0.500 [2 per cell]

The calculated volume is 34.11 Å³ per atom. The calculated formation energy is 0.397 eV/atom.


Record 13
First-principles (PBEsol) data for a geometry-optimized BaCa2SbCl structure, as listed in the Alexandria database.

a = 6.991 Å, b = 6.991 Å, c = 5.835 Å
α = 90.00°, β = 90.00°, γ = 90.00°
Space group P4/mmm (No. 123)
Symmetry-distinct sites (fractional):
1 Ba 0.000 0.000 0.000 [1 per cell]
2 Ca 0.000 0.500 0.000 [2 per cell]
3 Sb 0.000 0.000 0.500 [1 per cell]
4 Cl 0.500 0.500 0.500 [1 per cell]

The calculated volume is 57.05 Å³ per atom. The value obtained for the energy relative to the elements, uncorrected is 439 meV/atom.


Record 14
First-principles (PBEsol) data for a geometry-optimized Ca3Fe2W2O12 structure, as listed in the Alexandria database.

a = 5.3175 Å, b = 5.3175 Å, c = 26.1542 Å
α = 90.00°, β = 90.00°, γ = 120.00°
Space group R3m (No. 160, hexagonal axes)
Symmetry-distinct sites (fractional):
1 Ca 0.0000 0.0000 0.0000 [3 per cell]
2 Ca 0.0000 0.0000 0.2418 [3 per cell]
3 Ca 0.0000 0.0000 0.4899 [3 per cell]
4 Fe 0.0000 0.0000 0.3716 [3 per cell]
5 Fe 0.0000 0.0000 0.8705 [3 per cell]
6 W 0.0000 0.0000 0.1188 [3 per cell]
7 W 0.0000 0.0000 0.6230 [3 per cell]
8 O 0.0110 0.5055 0.9952 [9 per cell]
9 O 0.1692 0.3385 0.0790 [9 per cell]
10 O 0.1691 0.3381 0.5792 [9 per cell]
11 O 0.1690 0.3380 0.8324 [9 per cell]

The calculated volume is 11.24 Å³ per atom. The value obtained for the energy relative to the elements, uncorrected is -2225 meV/atom. The distance to the lowest polymorph of the same formula is 22 meV per atom.


Record 15
First-principles (PBEsol) data for a geometry-optimized Zn2RuCl structure, as listed in the Alexandria database.

a = 2.740 Å, b = 5.039 Å, c = 9.148 Å
α = 90.00°, β = 90.00°, γ = 90.00°
Space group Cmm2 (No. 35)
Symmetry-distinct sites (fractional):
1 Zn 0.000 0.000 0.000 [2 per cell]
2 Zn 0.000 0.500 0.248 [2 per cell]
3 Ru 0.000 0.500 0.764 [2 per cell]
4 Cl 0.000 0.000 0.559 [2 per cell]

The calculated volume is 15.79 Å³ per atom. The value obtained for the energy relative to the elements, uncorrected is 257 meV/atom. The distance to the lowest polymorph of the same formula is 0 meV per atom.


Record 16
First-principles (PBEsol) data for a geometry-optimized Sr2Cd2Ga structure, as listed in the Alexandria database.

a = 6.337 Å, b = 6.337 Å, c = 7.987 Å
α = 90.00°, β = 90.00°, γ = 90.00°
Space group I4/mmm (No. 139)
Symmetry-distinct sites (fractional):
1 Sr 0.000 0.500 0.250 [4 per cell]
2 Cd 0.000 0.000 0.166 [4 per cell]
3 Ga 0.000 0.000 0.500 [2 per cell]

The calculated volume is 32.07 Å³ per atom. The calculated formation energy is -0.058 eV/atom.


Record 17
First-principles (PBEsol) data for a geometry-optimized Ta4BeRe structure, as listed in the Alexandria database.

a = 7.434 Å, b = 7.434 Å, c = 7.434 Å
α = 90.00°, β = 90.00°, γ = 90.00°
Space group F-43m (No. 216)
Symmetry-distinct sites (fractional):
1 Ta 0.124 0.124 0.124 [16 per cell]
2 Be 0.000 0.000 0.500 [4 per cell]
3 Re 0.250 0.250 0.750 [4 per cell]

The calculated volume is 17.12 Å³ per atom. The calculated formation energy is 0.705 eV/atom.


Record 18
First-principles (PBEsol) data for a geometry-optimized KBe2Ru structure, as listed in the Alexandria database.

a = 3.075 Å, b = 3.375 Å, c = 6.889 Å
α = 90.00°, β = 92.79°, γ = 90.00°
Space group Pm (No. 6)
Symmetry-distinct sites (fractional):
1 K 0.000 0.000 0.000 [1 per cell]
2 Be 0.431 0.000 0.417 [1 per cell]
3 Be 0.455 0.500 0.635 [1 per cell]
4 Ru 0.928 0.500 0.416 [1 per cell]

The calculated volume is 17.85 Å³ per atom. The calculated formation energy is 0.485 eV/atom. The distance to the lowest polymorph of the same formula is 0 meV per atom.


Record 19
First-principles (PBEsol) data for a geometry-optimized Rb2AsAuI6 structure, as listed in the Alexandria database.

a = 11.437 Å, b = 11.437 Å, c = 11.437 Å
α = 90.00°, β = 90.00°, γ = 90.00°
Space group Fm-3m (No. 225)
Symmetry-distinct sites (fractional):
1 Rb 0.250 0.250 0.250 [8 per cell]
2 As 0.000 0.000 0.000 [4 per cell]
3 Au 0.000 0.000 0.500 [4 per cell]
4 I 0.000 0.000 0.249 [24 per cell]

The calculated volume is 37.40 Å³ per atom. The value obtained for the energy relative to the elements, uncorrected is -647 meV/atom.


Record 20
First-principles (PBEsol) data for a geometry-optimized BeAlAs structure, as listed in the Alexandria database.

a = 5.778 Å, b = 5.778 Å, c = 5.778 Å
α = 90.00°, β = 90.00°, γ = 90.00°
Space group F-43m (No. 216)
Symmetry-distinct sites (fractional):
1 Be 0.000 0.000 0.000 [4 per cell]
2 Al 0.250 0.250 0.750 [4 per cell]
3 As 0.250 0.250 0.250 [4 per cell]

The calculated volume is 16.07 Å³ per atom. The calculated formation energy is 0.218 eV/atom.